Crystalline TbPr4Dy2Th at its relaxed geometry, computed with PBE.

Values from the calculation:
Formation enthalpy at 0 K (eV/atom): 0.040

The structure in POSCAR format:
```
TbPr4Dy2Th
1.0
5.134 0.000 0.000
0.000 5.144 0.000
0.000 0.000 10.297
Tb Pr Dy Th
1 4 2 1
direct
0.000 0.000 0.000 Tb
0.000 0.500 0.252 Pr
0.000 0.500 0.748 Pr
0.500 0.000 0.253 Pr
0.500 0.000 0.747 Pr
0.000 0.000 0.500 Dy
0.500 0.500 0.000 Dy
0.500 0.500 0.500 Th
```